Material: MnFe2Mo
Method: DFT, GGA-PBEsol
State: optimized geometry

Total moment in μB per cell: 5.32
Density in Mg/m³: 9.112
Energy above the most stable polymorph in this dataset in meV/atom: 64.0
Energy in eV/atom: -9.724
Energy of formation in eV per atom: 0.14

a = 2.5210 Å, b = 4.0357 Å, c = 4.8121 Å
α = 90.00°, β = 102.22°, γ = 90.00°
With the nearest neighbours (Å) after each atom.
Positions (direct):
Mn (0.0000, 0.0000, 0.0000)  4 Fe 2.46, 2 Mo 2.47, 2 Mn 2.52
Fe (0.2472, 0.5000, 0.7618)  4 Fe 2.38-2.56, 2 Mn 2.46, 2 Mo 2.53
Fe (0.7528, 0.5000, 0.2382)  4 Fe 2.38-2.56, 2 Mn 2.46, 2 Mo 2.53
Mo (0.5000, 0.0000, 0.5000)  2 Mn 2.47, 2 Mo 2.52, 4 Fe 2.53

***

Material: MnFe2Mo
Method: DFT, GGA-PBEsol
State: optimized geometry

Total moment in μB per cell: 5.37
Density in Mg/m³: 9.100
Energy above the most stable polymorph in this dataset in meV/atom: 20.2
Energy in eV/atom: -9.768
Energy of formation in eV per atom: 0.10

a = 4.7684 Å, b = 4.7684 Å, c = 4.7684 Å
α = 143.61°, β = 131.12°, γ = 62.44°
With the nearest neighbours (Å) after each atom.
Positions (direct):
Mn (0.0000, 0.0000, 0.0000)  4 Mo 2.47, 4 Fe 2.51
Fe (0.2478, 0.7478, 0.5000)  4 Fe 2.47, 2 Mn 2.51, 2 Mo 2.54
Fe (0.7522, 0.2522, 0.5000)  4 Fe 2.47, 2 Mn 2.51, 2 Mo 2.54
Mo (0.5000, 0.5000, 0.0000)  4 Mn 2.47, 4 Fe 2.54

***

Material: MnFe2Mo
Method: DFT, GGA-PBEsol
State: optimized geometry

Total moment in μB per cell: 5.07
Density in Mg/m³: 9.174
Energy above the most stable polymorph in this dataset in meV/atom: 0.0
Energy in eV/atom: -9.788
Energy of formation in eV per atom: 0.08

a = 4.0659 Å, b = 4.0659 Å, c = 4.0659 Å
α = 60.00°, β = 60.00°, γ = 60.00°
With the nearest neighbours (Å) after each atom.
Positions (direct):
Mn (0.0000, 0.0000, 0.0000)  4 Mo 2.49, 4 Fe 2.49
Fe (0.2500, 0.2500, 0.2500)  4 Mn 2.49, 4 Fe 2.49
Fe (0.5000, 0.5000, 0.5000)  4 Fe 2.49, 4 Mo 2.49
Mo (0.7500, 0.7500, 0.7500)  4 Mn 2.49, 4 Fe 2.49